4
Lattice="5.3666 0.0000 0.0000 2.6833 4.6476 0.0000 2.6833 1.5492 4.3818" Properties=species:S:1:pos:R:3 comment="PmPuMgSc, relaxed, DFT GGA-PBE" crystal_system=cubic final_energy_ev_per_atom=-6.58 pbc="T T T"
Mg 8.0499 4.6476 3.2864
Pu 2.6833 1.5492 1.0955
Pm 5.3666 3.0984 2.1909
Sc 0.0000 0.0000 0.0000

4
Lattice="-4.2159 -2.9281 -0.4669 0.0697 -4.8942 1.6148 -2.6650 -1.3681 4.1942" Properties=species:S:1:pos:R:3 comment="PmPuMgSi, relaxed, DFT GGA-PBE" crystal_system=cubic raw_formation_energy_ev_per_atom=-0.1328 pbc="T T T"
Pm 0.0000 0.0000 0.0000
Si -5.1083 -6.8928 4.0066
Pu -3.4056 -4.5952 2.6710
Mg -1.7028 -2.2976 1.3355